(1)
First-principles (PBE) data for a relaxed CeBi2O6 crystal, as listed in the Alexandria database.

Output
The symmetry is No. 71. The value obtained for the uncorrected formation energy is -1.7300 eV per atom.

a b c (Å): 3.8649 5.4817 6.7684
angles (deg): 113.89 106.59 90.00
Fractional coordinates of all 9 atoms:
O1 0.8318 0.0812 0.6636
O2 0.1682 0.4176 0.3364
O3 0.5000 0.7519 0.0000
O4 0.1682 0.9188 0.3364
O5 0.8318 0.5824 0.6636
Bi1 0.3327 0.3327 0.6653
Bi2 0.6673 0.6673 0.3347
O6 0.5000 0.2481 0.0000
Ce1 0.0000 0.0000 0.0000


(2)
First-principles (PBE) data for a relaxed Mn3SiH crystal, as listed in the Alexandria database.

Output
The symmetry is No. 119. The calculation puts the excess energy over the best structure of this formula in the dataset at 106.6 kJ/mol of atoms.

a b c (Å): 4.0516 4.0516 8.9668
angles (deg): 76.94 76.94 90.00
Each line ends with the local moment (μB).
Fractional coordinates of all 10 atoms:
H1 0.8565 0.3565 0.2870  0.00
Mn1 0.6766 0.6766 0.6468  0.17
Mn2 0.1251 0.3665 0.7499  0.21
Mn3 0.1251 0.8836 0.7499  0.21
Si1 0.0000 0.0000 0.0000  -0.01
Mn4 0.6335 0.8749 0.2501  0.16
H2 0.6435 0.1435 0.7130  0.00
Si2 0.2500 0.7500 0.5000  -0.01
Mn5 0.3234 0.3234 0.3532  0.12
Mn6 0.1164 0.8749 0.2501  0.15


(3)
First-principles (PBE) data for a relaxed ThAlRh crystal, as listed in the Alexandria database.

Output
The symmetry is No. 189. The energy of formation comes out at -0.913 eV per atom.

a b c (Å): 7.1741 7.1741 4.1789
angles (deg): 90.00 90.00 120.00
Fractional coordinates of all 9 atoms:
Rh1 0.6667 0.3333 0.0000
Al1 0.0000 0.7703 0.0000
Th1 0.5814 0.5814 0.5000
Al2 0.7703 0.0000 0.0000
Rh2 0.3333 0.6667 0.0000
Th2 0.0000 0.4186 0.5000
Al3 0.2297 0.2297 0.0000
Rh3 0.0000 0.0000 0.5000
Th3 0.4186 0.0000 0.5000


(4)
First-principles (PBE) data for a relaxed MgZnAs crystal, as listed in the Alexandria database.

Output
The symmetry is No. 216. The energy of formation comes out at -0.041 eV per atom.

a b c (Å): 4.4598 4.4598 4.4598
angles (deg): 60.00 60.00 60.00
Fractional coordinates of all 3 atoms:
As1 0.5000 0.5000 0.5000
Mg1 0.7500 0.7500 0.7500
Zn1 0.0000 0.0000 0.0000


Respective mass density values: 8.7 4.6 9.7 4.4 Mg/m³.